Record 1
DFT (GGA-PBE) results for a relaxed structure of Cd2ReSb.

The formation energy (no corrections) comes out at 2.633 eV per formula unit.

a b c (Å): 4.7167 6.1401 3.2462
angles (deg): 72.87 94.51 113.88
Fractional positions:
Sb 0.5000 0.5000 0.0000
Cd 0.0000 0.0000 0.0000
Cd 0.5000 0.0000 0.5000
Re 0.0000 0.5000 0.5000

=====

Record 2
DFT (GGA-PBE) results for a relaxed structure of Rb3Cd2In2Au4.

The formation energy comes out at -216.3 meV/atom.

a b c (Å): 4.8715 4.8715 17.9354
angles (deg): 90.00 90.00 120.00
Fractional positions:
Au 0.6667 0.3333 0.1369
Au 0.3333 0.6667 0.8631
Au 0.3333 0.6667 0.4102
Au 0.6667 0.3333 0.5898
Cd 0.6667 0.3333 0.8617
Cd 0.3333 0.6667 0.1383
In 0.3333 0.6667 0.5665
In 0.6667 0.3333 0.4335
Rb 0.0000 0.0000 0.0000
Rb 0.0000 0.0000 0.7197
Rb 0.0000 0.0000 0.2803

=====

Record 3
DFT (GGA-PBE) results for a relaxed structure of Zr4Mn3.

The formation energy comes out at 5.8 meV/atom. The energy above the lowest structure with this stoichiometry comes out at 0.000 eV per atom.

a b c (Å): 4.9645 4.9645 5.6763
angles (deg): 90.00 90.00 120.00
Fractional positions:
Mn 0.5000 0.5000 0.0000
Mn 0.5000 0.0000 0.0000
Mn 0.0000 0.5000 0.0000
Zr 0.3333 0.6667 0.5000
Zr 0.0000 0.0000 0.2470
Zr 0.6667 0.3333 0.5000
Zr 0.0000 0.0000 0.7530

=====

Record 4
DFT (GGA-PBE) results for a relaxed structure of LiTeIr4.

The formation energy (no corrections) comes out at 1.783 eV per formula unit.

a b c (Å): 5.2634 5.2634 5.2634
angles (deg): 60.00 60.00 60.00
Fractional positions:
Ir 0.6245 0.1265 0.6245
Ir 0.6245 0.6245 0.1265
Ir 0.1265 0.6245 0.6245
Ir 0.6245 0.6245 0.6245
Li 0.2500 0.2500 0.2500
Te 0.0000 0.0000 0.0000

=====

Record 5
DFT (GGA-PBE) results for a relaxed structure of ZnCuSe2N.

The energy above the lowest structure with this stoichiometry comes out at 0.250 eV per atom. The formation energy (no corrections) comes out at 5.225 eV per formula unit.

a b c (Å): 5.1269 5.1269 3.6504
angles (deg): 90.00 90.00 90.00
Fractional positions:
Cu 0.5000 0.5000 0.5000
Se 0.5000 0.0000 0.0000
Se 0.0000 0.5000 0.0000
N 0.0000 0.0000 0.5000
Zn 0.0000 0.0000 0.0000

=====

Record 6
DFT (GGA-PBE) results for a relaxed structure of RbTl2NiBi.

The formation energy comes out at 26.0 meV/atom.

a b c (Å): 5.3068 5.3068 5.4544
angles (deg): 90.00 90.00 90.00
Fractional positions:
Tl 0.5000 0.0000 0.0000
Tl 0.0000 0.5000 0.0000
Rb 0.5000 0.5000 0.5000
Ni 0.0000 0.0000 0.0000
Bi 0.0000 0.0000 0.5000

=====

Record 7
DFT (GGA-PBE) results for a relaxed structure of LaCe3In3.

The formation energy comes out at -253.3 meV/atom.

a b c (Å): 5.0381 9.6547 9.6547
angles (deg): 120.00 90.00 90.00
Fractional positions:
Ce 0.7500 0.9996 0.7772
Ce 0.2500 0.2224 0.9996
Ce 0.7500 0.7776 0.0004
Ce 0.2500 0.0004 0.2228
Ce 0.7500 0.2228 0.2224
Ce 0.2500 0.7772 0.7776
In 0.7500 0.6096 0.5435
In 0.2500 0.0661 0.6096
In 0.2500 0.3904 0.4565
In 0.2500 0.5435 0.9339
In 0.7500 0.9339 0.3904
In 0.7500 0.4565 0.0661
La 0.2500 0.6667 0.3333
La 0.7500 0.3333 0.6667

=====

Record 8
DFT (GGA-PBE) results for a relaxed structure of Tb2TmSc5.

The formation energy comes out at 111.6 meV/atom. The energy above the lowest structure with this stoichiometry comes out at 0.055 eV per atom.

a b c (Å): 6.5475 6.5475 6.5475
angles (deg): 108.81 108.81 110.79
Fractional positions:
Sc 0.2780 0.2782 0.5005
Sc 0.7776 0.7778 0.4995
Sc 0.7778 0.2780 0.0000
Sc 0.2776 0.2772 0.0000
Sc 0.2783 0.7775 0.0000
Tm 0.7785 0.7782 0.0000
Tb 0.2777 0.7780 0.5000
Tb 0.7777 0.2780 0.5000

=====

Record 9
DFT (GGA-PBE) results for a relaxed structure of MnZn4.

The formation energy comes out at 369.9 meV/atom. The energy above the lowest structure with this stoichiometry comes out at 0.324 eV per atom.

a b c (Å): 4.7603 5.0957 4.7603
angles (deg): 117.85 90.00 117.85
Fractional positions:
Zn 0.6531 0.3063 0.6531
Zn 0.2500 0.5000 0.7500
Zn 0.7500 0.5000 0.2500
Zn 0.3469 0.6937 0.3469
Mn 0.0000 0.0000 0.0000

=====

Record 10
DFT (GGA-PBE) results for a relaxed structure of LaAg3O.

The energy above the lowest structure with this stoichiometry comes out at 1.452 eV per atom. The formation energy (no corrections) comes out at 7.375 eV per formula unit.

a b c (Å): 5.8318 5.8318 5.8318
angles (deg): 90.00 90.00 90.00
Fractional positions:
Ag 0.0000 0.5000 0.0000
Ag 0.0000 0.0000 0.5000
Ag 0.5000 0.0000 0.0000
O 0.5000 0.5000 0.5000
La 0.0000 0.0000 0.0000

=====

Record 11
DFT (GGA-PBE) results for a relaxed structure of Co2AgSe.

The formation energy (no corrections) comes out at 1.257 eV per formula unit.

a b c (Å): 2.9528 2.9528 6.4079
angles (deg): 90.00 90.00 90.00
Fractional positions:
Co 0.0000 0.0000 0.4583
Co 0.0000 0.0000 0.0417
Se 0.5000 0.5000 0.2500
Ag 0.5000 0.5000 0.7500

=====

Record 12
DFT (GGA-PBE) results for a relaxed structure of HfTeOF2.

The energy above the lowest structure with this stoichiometry comes out at 1.806 eV per atom. The formation energy (no corrections) comes out at -1.602 eV per formula unit.

a b c (Å): 4.8217 4.8217 4.0558
angles (deg): 90.00 90.00 90.00
Fractional positions:
F 0.5000 0.0000 0.0000
F 0.0000 0.5000 0.0000
Te 0.0000 0.0000 0.0000
Hf 0.5000 0.5000 0.5000
O 0.0000 0.0000 0.5000